Material: Ac2InIrPd
Method: DFT, PBE-GGA
State: optimized geometry

Cell: 4.3749 4.3749 14.6823 Å, 90.00 90.00 90.00°
Fractional coordinates of all 10 atoms:
Ac 0.2500 0.2500 0.1014
Ac 0.2500 0.2500 0.6984
Ac 0.7500 0.7500 0.3016
Ac 0.7500 0.7500 0.8986
In 0.2500 0.7500 0.5000
In 0.7500 0.2500 0.5000
Ir 0.2500 0.2500 0.8915
Ir 0.7500 0.7500 0.1085
Pd 0.2500 0.2500 0.3743
Pd 0.7500 0.7500 0.6257

Properties
ΔE_f: -0.624 eV per atom